1.
# CaPm2TmTe4

An optimized crystal structure of CaPm2TmTe4 (PBE, Alexandria via LeMat-Bulk).

Summary:
Uncorrected formation energy: -1.399 eV/atom

The structure in CIF format:
```
data_CaPm2TmTe4
_symmetry_space_group_name_H-M 'P 1 2/m 1'
_symmetry_Int_Tables_number 10
_cell_length_a 7.612
_cell_length_b 4.379
_cell_length_c 7.777
_cell_angle_alpha 90.00
_cell_angle_beta 108.78
_cell_angle_gamma 90.00
loop_
_symmetry_equiv_pos_as_xyz
'x,y,z'
'-x,-y,-z'
'-x,y,-z'
'x,-y,z'
loop_
_atom_site_label
_atom_site_fract_x
_atom_site_fract_y
_atom_site_fract_z
Ca1 0.000 0.000 0.000
Pm1 0.000 0.500 0.500
Pm2 0.500 0.000 0.500
Tm1 0.500 0.500 0.000
Te1 0.251 0.500 0.241
Te2 0.257 0.000 0.762
```

2.
# LaErAgRh

An optimized crystal structure of LaErAgRh (PBE, Alexandria via LeMat-Bulk).

Summary:
Calculated formation energy: -0.497 eV/atom

The structure in CIF format:
```
data_LaErAgRh
_symmetry_space_group_name_H-M 'F -4 3 m'
_symmetry_Int_Tables_number 216
_symmetry_space_group_name_Hall 'F -4 2 3'
_cell_length_a 7.209
_cell_length_b 7.209
_cell_length_c 7.209
_cell_angle_alpha 90.00
_cell_angle_beta 90.00
_cell_angle_gamma 90.00
loop_
_atom_site_label
_atom_site_fract_x
_atom_site_fract_y
_atom_site_fract_z
La1 0.000 0.000 0.000
Er1 0.000 0.000 0.500
Ag1 0.250 0.250 0.250
Rh1 0.250 0.250 0.750
```

| no. | raw total energy (eV/f.u.) | calculated volume (A^3/atom) |
| --- | --- | --- |
| 1 | -39.729 | 30.680 |
| 2 | -21.680 | 23.413 |